(1)
Below is CaSi2 after structural relaxation, with properties calculated at the PBEsol level.

The structure in extended XYZ format:
```
3
Lattice="3.876 0.000 0.000 -1.938 3.357 0.000 0.000 0.000 4.801" Properties=species:S:1:pos:R:3 pbc="T T T"
Ca 0.000 0.000 0.000
Si 0.000 2.238 2.811
Si 1.938 1.119 1.990
```

***

(2)
Below is ZnP2I2 after structural relaxation, with properties calculated at the PBEsol level.

The structure in extended XYZ format:
```
5
Lattice="-1.706 1.706 10.760 1.706 -1.706 10.760 1.706 1.706 -10.760" Properties=species:S:1:pos:R:3 pbc="T T T"
Zn 0.000 0.000 0.000
P 1.706 0.000 5.380
P 0.000 1.706 5.380
I 0.000 0.000 8.964
I 0.000 0.000 12.557
```

***

| no. | formation energy without anion corrections (eV per atom) |
| --- | --- |
| 1 | -0.4072 |
| 2 | 0.3650 |